NiRh4 | PBE | relaxed

Lattice parameters (Å, degrees): 6.0012 6.0012 3.7879 90.00 90.00 90.00
Fractional positions:
Ni (0.0000, 0.0000, 0.0000)
Ni (0.5000, 0.5000, 0.5000)
Rh (0.1016, 0.2979, 0.5000)
Rh (0.2021, 0.6016, 0.0000)
Rh (0.2979, 0.8984, 0.5000)
Rh (0.3984, 0.2021, 0.0000)
Rh (0.6016, 0.7979, 0.0000)
Rh (0.7021, 0.1016, 0.5000)
Rh (0.7979, 0.3984, 0.0000)
Rh (0.8984, 0.7021, 0.5000)

The density is 11.45 Mg/m³. The value obtained for the total magnetization is 0.48 μB per cell. Its excess energy over the best structure of this formula in the dataset is 0.0000 eV/atom. The total energy is -7.01 eV per atom. The formation energy comes out at 0.1 eV/f.u.